A crystal of ZnPtRh2 relaxed with PBEsol. Source: Alexandria, functional meta-GGA SCAN.

a b c (Å): 8.907 2.704 4.635
angles (deg): 90.00 100.56 90.00
Space group C2/m (No. 12)
Inequivalent atoms, fractional coordinates:
Zn 0.000 0.000 0.000 x2
Pt 0.000 0.500 0.500 x2
Rh 0.247 0.500 0.249 x4

Output
The calculation puts the density of states at the Fermi level at 0.8785 states/eV per atom. For the energy relative to the elements, the calculation gives -0.2318 eV/atom. The value obtained for the uncorrected energy is -38.0446 eV/atom.